A plane-wave DFT calculation with PBE was carried out for a relaxed Cs2Ba2Pb crystal.

a b c (Å): 9.422 9.422 7.904
angles (deg): 90.00 90.00 90.00
Positions (direct):
Cs (0.186, 0.314, 0.000)
Cs (0.314, 0.814, 0.000)
Cs (0.686, 0.186, 0.000)
Cs (0.814, 0.686, 0.000)
Ba (0.167, 0.667, 0.500)
Ba (0.333, 0.167, 0.500)
Ba (0.667, 0.833, 0.500)
Ba (0.833, 0.333, 0.500)
Pb (0.000, 0.000, 0.500)
Pb (0.500, 0.500, 0.500)

ΔE_f   -23 meV per atom
V   701.6 Å³ per cell
Calculated density   3.539 Mg/m³
Space group   P4/mbm
Total magnetization   0.0 μB per cell